Record 1
Compound: InAgP2
Source: the Alexandria database
Functional: PBE
Structure: optimized geometry Values from VASP.

```
&SYSTEM
  ibrav = 0, nat = 4, ntyp = 3
/
ATOMIC_SPECIES
Ag 107.87 Ag.upf
In 114.82 In.upf
P 30.97 P.upf
CELL_PARAMETERS angstrom
3.7986 0.0000 0.0000
0.0000 4.8814 -0.0575
0.0000 1.1308 4.5962
ATOMIC_POSITIONS angstrom
Ag 1.8993 1.5031 1.1347
In 1.8993 4.5092 3.4040
P 0.0000 4.7430 0.3733
P 0.0000 3.1446 1.8385
```

Formation energy from the elements in eV per atom: 0.119
N(E_F) in states/eV/cell: 0.96
Final energy in eV/atom: -3.983
ρ in g/cm3: 5.5
Magnetic moment in μB per cell: 0.00



Record 2
Compound: AcAg3Hg3
Source: the Alexandria database
Functional: PBE
Structure: optimized geometry Values from VASP.

```
&SYSTEM
  ibrav = 0, nat = 14, ntyp = 3
/
ATOMIC_SPECIES
Ac 227.00 Ac.upf
Ag 107.87 Ag.upf
Hg 200.59 Hg.upf
CELL_PARAMETERS angstrom
7.7960 0.0000 0.0000
3.8980 6.7515 0.0000
3.8980 2.2505 6.7290
ATOMIC_POSITIONS angstrom
Ac 7.7960 4.5010 6.6874
Ac 7.7960 4.5010 0.0416
Ag 9.3526 6.1706 4.2727
Ag 8.4635 2.3182 4.2727
Ag 5.5718 5.0143 4.2727
Ag 10.0202 3.9877 2.4563
Ag 7.1284 6.6839 2.4563
Ag 6.2394 2.8315 2.4563
Hg 4.7372 5.1731 1.4494
Hg 8.7434 1.5159 1.4494
Hg 9.9075 6.8140 1.4494
Hg 5.6845 2.1880 5.2796
Hg 6.8486 7.4861 5.2796
Hg 10.8548 3.8289 5.2796
```

Formation energy from the elements in eV per atom: -0.092
N(E_F) in states/eV/cell: 5.62
Final energy in eV/atom: -2.030
ρ in g/cm3: 10.8
Magnetic moment in μB per cell: 0.00



Record 3
Compound: Sc2RhPb
Source: the Alexandria database
Functional: PBE
Structure: optimized geometry Values from VASP.

```
&SYSTEM
  ibrav = 0, nat = 4, ntyp = 3
/
ATOMIC_SPECIES
Pb 207.20 Pb.upf
Sc 44.96 Sc.upf
Rh 102.91 Rh.upf
CELL_PARAMETERS angstrom
5.0417 -2.8647 8.2587
7.5389 -1.9771 6.4100
5.9488 0.2347 8.1479
ATOMIC_POSITIONS angstrom
Pb 9.2647 -2.3036 11.4083
Sc 17.0554 -4.2406 21.0016
Sc 1.4740 -0.3665 1.8151
Rh 0.0000 0.0000 0.0000
```

Formation energy from the elements in eV per atom: 0.009
N(E_F) in states/eV/cell: 3.89
Final energy in eV/atom: -5.922
ρ in g/cm3: 7.4
Magnetic moment in μB per cell: 0.00



Record 4
Compound: Tb6Pr3Er
Source: the Alexandria database
Functional: PBE
Structure: optimized geometry Values from VASP.

```
&SYSTEM
  ibrav = 0, nat = 20, ntyp = 3
/
ATOMIC_SPECIES
Tb 158.93 Tb.upf
Pr 140.91 Pr.upf
Er 167.26 Er.upf
CELL_PARAMETERS angstrom
-6.3207 0.9916 -0.3985
-1.8305 -10.1806 3.7022
0.8646 8.3563 7.0800
ATOMIC_POSITIONS angstrom
Tb -1.0966 -2.0054 7.0393
Tb -4.0137 0.1637 7.1450
Tb -2.4814 2.9097 8.5123
Tb -6.7725 -4.3720 6.8958
Tb -4.0487 -9.1210 3.6827
Tb -3.9721 3.9599 5.9028
Tb -2.0412 -4.9924 4.5611
Tb -4.7163 8.5201 6.6078
Tb -2.0228 3.7759 3.3928
Tb -6.3139 -3.5058 1.7763
Tb -0.7703 -1.3890 3.3965
Tb -3.6874 0.7800 3.5021
Pr -4.0392 -3.1602 8.3167
Pr -6.5840 1.5694 8.8889
Pr -0.6385 1.2510 5.7431
Pr -4.4069 -2.4353 4.7818
Pr -5.9576 2.7526 1.8962
Pr -3.4128 -1.9770 1.3239
Er -0.4452 4.8998 6.3778
Er -5.2595 -5.9807 4.1056
```

Formation energy from the elements in eV per atom: 0.147
N(E_F) in states/eV/cell: 26.46
Final energy in eV/atom: -4.521
ρ in g/cm3: 7.7
Magnetic moment in μB per cell: 0.00



Record 5
Compound: CaHo3Bi4
Source: the Alexandria database
Functional: PBE
Structure: optimized geometry Values from VASP.

```
&SYSTEM
  ibrav = 0, nat = 16, ntyp = 3
/
ATOMIC_SPECIES
Ca 40.08 Ca.upf
Ho 164.93 Ho.upf
Bi 208.98 Bi.upf
CELL_PARAMETERS angstrom
7.7703 0.0629 0.0000
-2.6644 7.3397 0.0000
0.0000 0.0000 9.0132
ATOMIC_POSITIONS angstrom
Ca 5.8277 0.0472 7.8959
Ca 1.9426 0.0157 1.1173
Ho 5.8277 0.0472 3.3673
Ho 1.9426 0.0157 5.6459
Ho 4.4955 3.7171 5.6413
Ho 4.4955 3.7171 1.1144
Ho 0.6104 3.6856 3.3719
Ho 0.6104 3.6856 7.8988
Bi -0.6442 1.8509 5.5987
Bi 3.1935 1.9174 7.8494
Bi 3.2409 1.8823 3.4145
Bi 7.0786 1.9488 1.1638
Bi -1.9727 5.4538 7.8494
Bi 1.8650 5.5203 5.5987
Bi 1.9124 5.4853 1.1638
Bi 5.7502 5.5518 3.4145
```

Formation energy from the elements in eV per atom: -0.791
N(E_F) in states/eV/cell: 4.98
Final energy in eV/atom: -4.699
ρ in g/cm3: 8.8
Magnetic moment in μB per cell: 0.00



Record 6
Compound: SrNiHg
Source: the Alexandria database
Functional: PBE
Structure: optimized geometry Values from VASP.

```
&SYSTEM
  ibrav = 0, nat = 3, ntyp = 3
/
ATOMIC_SPECIES
Hg 200.59 Hg.upf
Ni 58.69 Ni.upf
Sr 87.62 Sr.upf
CELL_PARAMETERS angstrom
4.7883 0.0000 0.0000
2.3941 4.1468 0.0000
2.3941 1.3823 3.9096
ATOMIC_POSITIONS angstrom
Hg 4.7883 2.7645 1.9548
Ni 7.1824 4.1468 2.9322
Sr 0.0000 0.0000 0.0000
```

Formation energy from the elements in eV per atom: -0.061
N(E_F) in states/eV/cell: 1.73
Final energy in eV/atom: -2.649
ρ in g/cm3: 7.4
Magnetic moment in μB per cell: 0.00



Record 7
Compound: La5Nd2Ho12
Source: the Alexandria database
Functional: PBE
Structure: optimized geometry Values from VASP.

```
&SYSTEM
  ibrav = 0, nat = 19, ntyp = 3
/
ATOMIC_SPECIES
La 138.91 La.upf
Nd 144.24 Nd.upf
Ho 164.93 Ho.upf
CELL_PARAMETERS angstrom
6.7900 0.5722 0.2091
-3.0342 9.5718 -9.7060
0.7837 -5.1543 14.7121
ATOMIC_POSITIONS angstrom
La 0.4644 2.7694 2.7545
La 4.2485 -1.6712 5.8625
La 0.3919 -2.5771 7.3561
La 0.2910 6.6609 -0.6474
La 4.0752 2.2203 2.4606
Nd 2.9665 4.4292 5.0011
Nd 1.5731 0.5605 0.2141
Ho 6.6625 -0.4185 3.4278
Ho -0.8845 5.8737 -5.8273
Ho 3.3315 0.6020 8.4614
Ho -0.8164 3.1254 -0.6871
Ho 2.5801 4.2121 -0.1090
Ho 4.2272 -3.4588 12.3735
Ho 0.3124 8.4485 -7.1583
Ho 5.3559 1.8643 5.9022
Ho 1.9595 0.7776 5.3241
Ho 5.4240 -0.8840 11.0425
Ho 1.2080 4.3877 -3.2463
Ho -2.1230 5.4082 1.7874
```

Formation energy from the elements in eV per atom: 0.110
N(E_F) in states/eV/cell: 28.40
Final energy in eV/atom: -4.580
ρ in g/cm3: 7.7
Magnetic moment in μB per cell: 0.00



Record 8
Compound: Pr4Ge6O19
Source: the Alexandria database
Functional: PBE
Structure: optimized geometry Values from VASP.

```
&SYSTEM
  ibrav = 0, nat = 29, ntyp = 3
/
ATOMIC_SPECIES
Pr 140.91 Pr.upf
Ge 72.64 Ge.upf
O 16.00 O.upf
CELL_PARAMETERS angstrom
7.2258 0.0000 -2.5547
-3.6129 6.2578 -2.5547
0.0000 0.0000 7.6641
ATOMIC_POSITIONS angstrom
Pr 0.0000 0.0000 5.1876
Pr -2.4454 4.2356 -1.7292
Pr 1.1675 2.0221 0.8255
Pr 4.8909 0.0000 -1.7292
Ge 0.6351 3.1289 4.2811
Ge 2.9778 3.1289 -1.7264
Ge -1.2208 4.1433 1.7264
Ge 4.8337 2.1144 0.8283
Ge 0.5857 5.2433 -0.8283
Ge 3.0272 1.0144 3.3830
O 4.6828 0.0000 3.3112
O 2.5431 0.0000 1.7982
O 1.2715 2.2023 -1.7982
O 2.3414 4.0554 -3.3112
O -2.3414 4.0554 3.3112
O -1.2715 2.2023 1.7982
O 0.0000 0.0000 0.0000
O 1.2153 1.5679 3.3704
O 3.9216 2.0503 4.6932
O 2.1191 4.2075 -0.4218
O 4.3631 4.4213 -1.7390
O -0.0301 4.6899 -2.5324
O 3.4277 1.8364 -0.4162
O -1.0287 2.3188 4.6876
O 0.4637 3.9389 2.5771
O 5.2603 0.2686 0.8157
O -1.0904 5.9892 2.1329
O -0.4336 3.8867 0.0223
O 3.4895 2.3710 2.1385
```

N(E_F) in states/eV/cell: 19.87
Formation energy without anion corrections in eV per atom: -2.18
Final energy in eV/atom: -7.043
ρ in g/cm3: 6.2
Magnetic moment in μB per cell: 2.21



Record 9
Compound: Y2Al3Zn4Ag
Source: the Alexandria database
Functional: PBE
Structure: optimized geometry Values from VASP.

```
&SYSTEM
  ibrav = 0, nat = 10, ntyp = 4
/
ATOMIC_SPECIES
Y 88.91 Y.upf
Al 26.98 Al.upf
Zn 65.41 Zn.upf
Ag 107.87 Ag.upf
CELL_PARAMETERS angstrom
-2.0164 0.9102 3.5487
-1.5822 -3.8698 0.0935
8.5941 -3.3747 5.7487
ATOMIC_POSITIONS angstrom
Y 1.0854 -0.3670 3.1748
Y 5.7094 -4.4875 4.3951
Al 4.2970 -1.6873 2.8743
Al 6.4301 -2.4658 6.7499
Al 0.3647 -2.3888 0.8199
Zn -1.7993 -1.4798 1.8211
Zn 0.0000 0.0000 0.0000
Zn 4.5128 -1.7129 5.4675
Zn 2.2819 -3.1416 2.1024
Ag 2.4977 -3.1672 4.6955
```

Formation energy from the elements in eV per atom: -0.323
N(E_F) in states/eV/cell: 7.21
Final energy in eV/atom: -3.533
ρ in g/cm3: 5.5
Magnetic moment in μB per cell: 0.00



Record 10
Compound: GaHgH
Source: the Alexandria database
Functional: PBE
Structure: optimized geometry Values from VASP.

```
&SYSTEM
  ibrav = 0, nat = 6, ntyp = 3
/
ATOMIC_SPECIES
H 1.01 H.upf
Hg 200.59 Hg.upf
Ga 69.72 Ga.upf
CELL_PARAMETERS angstrom
2.8699 -0.0093 0.1484
-0.0291 4.8635 0.0046
-0.6029 -2.3221 7.8303
ATOMIC_POSITIONS angstrom
H -0.2646 1.2786 3.5384
H 2.5026 1.2535 4.4449
Hg 1.7619 1.2951 6.9807
Hg 0.4760 1.2370 1.0026
Ga 1.2350 3.6876 2.4694
Ga 1.0030 -1.1555 5.5139
```

N(E_F) in states/eV/cell: 0.72
Final energy in eV/atom: -2.090
ρ in g/cm3: 8.2
Magnetic moment in μB per cell: 0.00